A plane-wave DFT calculation with PBE was carried out for crystalline Pb3S2I2 at its relaxed geometry. Values from VASP.

The structure in Quantum ESPRESSO input format:
```
&SYSTEM
  ibrav = 0, nat = 7, ntyp = 3
/
ATOMIC_SPECIES
Pb 207.20 Pb.upf
I 126.90 I.upf
S 32.06 S.upf
CELL_PARAMETERS angstrom
-0.718 -0.689 -4.334
-7.366 -2.531 1.622
0.761 8.448 0.811
ATOMIC_POSITIONS angstrom
Pb -5.016 2.095 0.497
Pb -2.306 3.133 -2.398
Pb 0.000 0.000 0.000
I -6.393 -0.951 -1.071
I -0.930 6.179 -0.829
S -5.048 3.392 -1.985
S -2.275 1.836 0.085
```

As for the offset from the most stable computed form: 18 meV/atom. The density of states at the Fermi level comes out at 0.00 states/eV per cell. The total energy is -26.37 eV for the cell shown. As for the theoretical density: 5828 kg/m3. The uncorrected formation energy comes out at -12.81 kcal/mol of atoms.